# MgScIn2

A geometry-optimized MgScIn2 structure (PBE, Alexandria).

## Properties
Crystal system: tetragonal
Total magnetic moment: 0.00 μB per formula unit
DFT formation energy: -100 kJ/mol of formula units

Unit cell a=4.492 b=4.492 c=8.927 alpha=90.00 beta=90.00 gamma=90.00
Space group I4/mmm (No. 139)
Symmetry-distinct sites (fractional):
Mg 0.000 0.000 0.000 [2 per cell]
Sc 0.000 0.000 0.500 [2 per cell]
In 0.000 0.500 0.250 [4 per cell]